Ac2TmGe4Au3 | PBE | relaxed

Values from the calculation:
**Total DFT energy (no corrections)**: -47.76 eV per formula unit
**Formation energy**: -15.62 kcal/mol of atoms

```
10
Lattice="4.573 0.000 0.000 0.000 4.573 0.000 0.000 0.000 11.290" Properties=species:S:1:pos:R:3 pbc="T T T"
Ac 2.286 0.000 2.626
Ac 0.000 2.286 8.663
Tm 2.286 2.286 5.645
Ge 2.286 2.286 0.000
Ge 0.000 0.000 0.000
Ge 2.286 0.000 7.313
Ge 0.000 2.286 3.977
Au 0.000 0.000 5.645
Au 2.286 0.000 9.921
Au 0.000 2.286 1.368
```